Compound: Tb2Pm3DyTe6
Source: the Alexandria database
Functional: GGA-PBE
Structure: relaxed

Cell and atoms, written as CIF:
```
data_Tb2Pm3DyTe6
_chemical_formula_sum 'Tb4 Pm6 Dy2 Te12'
_cell_length_a 19.2909
_cell_length_b 4.3833
_cell_length_c 8.9015
_cell_angle_alpha 90.00
_cell_angle_beta 103.94
_cell_angle_gamma 90.00
_symmetry_space_group_name_H-M 'C 1 2/m 1'
_symmetry_Int_Tables_number 12
loop_
_symmetry_equiv_pos_as_xyz
'x,y,z'
'-x,-y,-z'
'-x,y,-z'
'x,-y,z'
'x+1/2,y+1/2,z'
'-x+1/2,-y+1/2,-z'
'-x+1/2,y+1/2,-z'
'x+1/2,-y+1/2,z'
loop_
_atom_site_label
_atom_site_type_symbol
_atom_site_fract_x
_atom_site_fract_y
_atom_site_fract_z
Tb1 Tb 0.1669 0.0000 0.3335
Pm1 Pm 0.0000 0.5000 0.5000
Pm2 Pm 0.1673 0.0000 0.8330
Dy1 Dy 0.0000 0.5000 0.0000
Te1 Te 0.0015 0.0000 0.2443
Te2 Te 0.1642 0.5000 0.0871
Te3 Te 0.1684 0.5000 0.5786
```

- VASP energy (eV/atom) = -5.270
- DOS(E_F) (states/eV/f.u.) = 6.14
- spin magnetization (Bohr magnetons per cell) = 0.00

=====

Compound: Re3IrBr
Source: the Alexandria database
Functional: GGA-PBE
Structure: relaxed

Cell and atoms, written as CIF:
```
data_Re3IrBr
_chemical_formula_sum 'Re3 Ir1 Br1'
_cell_length_a 4.4783
_cell_length_b 4.4783
_cell_length_c 4.4783
_cell_angle_alpha 90.00
_cell_angle_beta 90.00
_cell_angle_gamma 90.00
_symmetry_space_group_name_H-M 'P m -3 m'
_symmetry_Int_Tables_number 221
_symmetry_space_group_name_Hall '-P 4 2 3'
loop_
_atom_site_label
_atom_site_type_symbol
_atom_site_fract_x
_atom_site_fract_y
_atom_site_fract_z
Re1 Re 0.0000 0.0000 0.5000
Ir1 Ir 0.5000 0.5000 0.5000
Br1 Br 0.0000 0.0000 0.0000
```

- VASP energy (eV/atom) = -7.151
- DOS(E_F) (states/eV/f.u.) = 4.63
- spin magnetization (Bohr magnetons per cell) = 0.00

=====

Compound: Ba2AsOs
Source: the Alexandria database
Functional: GGA-PBE
Structure: relaxed

Cell and atoms, written as CIF:
```
data_Ba2AsOs
_chemical_formula_sum 'Ba4 As2 Os2'
_cell_length_a 4.4268
_cell_length_b 4.9815
_cell_length_c 11.3823
_cell_angle_alpha 90.00
_cell_angle_beta 90.00
_cell_angle_gamma 90.00
_symmetry_space_group_name_H-M 'A m m 2'
_symmetry_Int_Tables_number 38
loop_
_symmetry_equiv_pos_as_xyz
'x,y,z'
'-x,-y,z'
'-x,y,z'
'x,-y,z'
'x,y+1/2,z+1/2'
'-x,-y+1/2,z+1/2'
'-x,y+1/2,z+1/2'
'x,-y+1/2,z+1/2'
loop_
_atom_site_label
_atom_site_type_symbol
_atom_site_fract_x
_atom_site_fract_y
_atom_site_fract_z
Ba1 Ba 0.0000 0.0000 0.0000
Ba2 Ba 0.5000 0.0000 0.2898
As1 As 0.5000 0.0000 0.5956
Os1 Os 0.0000 0.0000 0.6866
```

- VASP energy (eV/atom) = -5.108
- DOS(E_F) (states/eV/f.u.) = 2.72
- spin magnetization (Bohr magnetons per cell) = 0.00
- energy of formation from the pure elements (eV/atom) = -0.177

=====

Compound: ErThMnIn
Source: the Alexandria database
Functional: GGA-PBE
Structure: relaxed

Cell and atoms, written as CIF:
```
data_ErThMnIn
_chemical_formula_sum 'Er4 Th4 Mn4 In4'
_cell_length_a 7.4242
_cell_length_b 7.4242
_cell_length_c 7.4242
_cell_angle_alpha 90.00
_cell_angle_beta 90.00
_cell_angle_gamma 90.00
_symmetry_space_group_name_H-M 'F -4 3 m'
_symmetry_Int_Tables_number 216
_symmetry_space_group_name_Hall 'F -4 2 3'
loop_
_atom_site_label
_atom_site_type_symbol
_atom_site_fract_x
_atom_site_fract_y
_atom_site_fract_z
Er1 Er 0.0000 0.0000 0.0000
Th1 Th 0.0000 0.0000 0.5000
Mn1 Mn 0.2500 0.2500 0.7500
In1 In 0.2500 0.2500 0.2500
```

- VASP energy (eV/atom) = -5.960
- DOS(E_F) (states/eV/f.u.) = 3.73
- spin magnetization (Bohr magnetons per cell) = 11.99
- energy of formation from the pure elements (eV/atom) = 0.013

=====

Compound: KCaAu2
Source: the Alexandria database
Functional: GGA-PBE
Structure: relaxed

Cell and atoms, written as CIF:
```
data_KCaAu2
_chemical_formula_sum 'K4 Ca4 Au8'
_cell_length_a 7.3384
_cell_length_b 7.3384
_cell_length_c 7.3384
_cell_angle_alpha 90.00
_cell_angle_beta 90.00
_cell_angle_gamma 90.00
_symmetry_space_group_name_H-M 'F -4 3 m'
_symmetry_Int_Tables_number 216
_symmetry_space_group_name_Hall 'F -4 2 3'
loop_
_atom_site_label
_atom_site_type_symbol
_atom_site_fract_x
_atom_site_fract_y
_atom_site_fract_z
K1 K 0.0000 0.0000 0.0000
Ca1 Ca 0.2500 0.2500 0.7500
Au1 Au 0.0000 0.0000 0.5000
Au2 Au 0.2500 0.2500 0.2500
```

- VASP energy (eV/atom) = -2.658
- DOS(E_F) (states/eV/f.u.) = 3.54
- spin magnetization (Bohr magnetons per cell) = 0.00
- energy of formation from the pure elements (eV/atom) = -0.245

=====

Compound: Nd2Sm4Al
Source: the Alexandria database
Functional: GGA-PBE
Structure: relaxed

Cell and atoms, written as CIF:
```
data_Nd2Sm4Al
_chemical_formula_sum 'Nd6 Sm12 Al3'
_cell_length_a 3.6733
_cell_length_b 3.6733
_cell_length_c 58.7797
_cell_angle_alpha 90.00
_cell_angle_beta 90.00
_cell_angle_gamma 120.00
_symmetry_space_group_name_H-M 'R -3 m'
_symmetry_Int_Tables_number 166
_symmetry_space_group_name_Hall '-R 3 2"'
loop_
_atom_site_label
_atom_site_type_symbol
_atom_site_fract_x
_atom_site_fract_y
_atom_site_fract_z
Nd1 Nd 0.0000 0.0000 0.1927
Sm1 Sm 0.0000 0.0000 0.0903
Sm2 Sm 0.0000 0.0000 0.2947
Al1 Al 0.0000 0.0000 0.0000
```

- VASP energy (eV/atom) = -4.607
- DOS(E_F) (states/eV/f.u.) = 10.34
- spin magnetization (Bohr magnetons per cell) = 0.00
- energy of formation from the pure elements (eV/atom) = -0.013

=====

Compound: PrNdDyEr
Source: the Alexandria database
Functional: GGA-PBE
Structure: relaxed

Cell and atoms, written as CIF:
```
data_PrNdDyEr
_chemical_formula_sum 'Pr2 Nd2 Dy2 Er2'
_cell_length_a 5.1177
_cell_length_b 5.1177
_cell_length_c 10.1793
_cell_angle_alpha 90.00
_cell_angle_beta 90.00
_cell_angle_gamma 90.00
_symmetry_space_group_name_H-M 'I -4 m 2'
_symmetry_Int_Tables_number 119
_symmetry_space_group_name_Hall 'I -4 -2'
loop_
_atom_site_label
_atom_site_type_symbol
_atom_site_fract_x
_atom_site_fract_y
_atom_site_fract_z
Pr1 Pr 0.0000 0.0000 0.0000
Nd1 Nd 0.0000 0.5000 0.7500
Dy1 Dy 0.0000 0.0000 0.5000
Er1 Er 0.0000 0.5000 0.2500
```

- VASP energy (eV/atom) = -4.657
- DOS(E_F) (states/eV/f.u.) = 5.71
- spin magnetization (Bohr magnetons per cell) = 0.00
- energy of formation from the pure elements (eV/atom) = 0.021

=====

Compound: BaZnAg
Source: the Alexandria database
Functional: GGA-PBE
Structure: relaxed

Cell and atoms, written as CIF:
```
data_BaZnAg
_chemical_formula_sum 'Ba4 Zn4 Ag4'
_cell_length_a 7.3120
_cell_length_b 7.3120
_cell_length_c 7.3120
_cell_angle_alpha 90.00
_cell_angle_beta 90.00
_cell_angle_gamma 90.00
_symmetry_space_group_name_H-M 'F -4 3 m'
_symmetry_Int_Tables_number 216
_symmetry_space_group_name_Hall 'F -4 2 3'
loop_
_atom_site_label
_atom_site_type_symbol
_atom_site_fract_x
_atom_site_fract_y
_atom_site_fract_z
Ba1 Ba 0.0000 0.0000 0.0000
Zn1 Zn 0.2500 0.2500 0.7500
Ag1 Ag 0.0000 0.0000 0.5000
```

- VASP energy (eV/atom) = -2.034
- DOS(E_F) (states/eV/f.u.) = 2.41
- spin magnetization (Bohr magnetons per cell) = 0.00
- energy of formation from the pure elements (eV/atom) = -0.018